[1]
# Ac8PtRh3Br4 (PBE-GGA, relaxed)
# SG: R-3m (166)
# formation energy without anion corrections: -1.211 eV per atom
data_Ac8PtRh3Br4
_cell_length_a 8.732
_cell_length_b 9.697
_cell_length_c 8.736
_cell_angle_alpha 116.76
_cell_angle_beta 119.99
_cell_angle_gamma 90.00
_symmetry_space_group_name_H-M 'P 1'
_symmetry_Int_Tables_number 1
_symmetry_space_group_name_Hall 'P 1'
loop_
_atom_site_label
_atom_site_type_symbol
_atom_site_fract_x
_atom_site_fract_y
_atom_site_fract_z
Pt1 Pt 0.000 0.500 0.000
Ac1 Ac 0.268 0.305 0.537
Br1 Br 0.500 0.000 0.000
Ac2 Ac 0.766 0.305 0.039
Ac3 Ac 0.728 0.695 0.961
Rh1 Rh 0.500 0.500 0.500
Br2 Br 0.000 0.000 0.000
Rh2 Rh 0.500 0.500 0.000
Ac4 Ac 0.732 0.695 0.463
Ac5 Ac 0.234 0.695 0.961
Br3 Br 0.000 0.000 0.500
Ac6 Ac 0.272 0.305 0.039
Rh3 Rh 0.000 0.500 0.500
Br4 Br 0.500 0.000 0.500
Ac7 Ac 0.766 0.305 0.533
Ac8 Ac 0.234 0.695 0.467

=====

[2]
# LaZrCl (PBE-GGA, relaxed)
# SG: C2/m (12)
# ΔE to the lowest computed polymorph: 199 meV per atom
# formation energy without anion corrections: -0.711 eV per atom
data_LaZrCl
_cell_length_a 6.252
_cell_length_b 5.969
_cell_length_c 9.901
_cell_angle_alpha 90.00
_cell_angle_beta 123.09
_cell_angle_gamma 90.00
_symmetry_space_group_name_H-M 'P 1'
_symmetry_Int_Tables_number 1
_symmetry_space_group_name_Hall 'P 1'
loop_
_atom_site_label
_atom_site_type_symbol
_atom_site_fract_x
_atom_site_fract_y
_atom_site_fract_z
Zr1 Zr 0.887 0.000 0.289
Zr2 Zr 0.113 0.000 0.711
Zr3 Zr 0.887 0.500 0.789
La1 La 0.500 0.000 0.500
La2 La 0.000 0.500 0.500
La3 La 0.000 0.000 0.000
La4 La 0.500 0.500 0.000
Zr4 Zr 0.113 0.500 0.211
Cl1 Cl 0.500 0.750 0.750
Cl2 Cl 0.500 0.750 0.250
Cl3 Cl 0.500 0.250 0.250
Cl4 Cl 0.500 0.250 0.750

=====

[3]
# AcLa3PrY (PBE-GGA, relaxed)
# ΔH_f (0 K): 0.164 eV/atom
# SG: C2/m (12)
data_AcLa3PrY
_cell_length_a 6.022
_cell_length_b 11.016
_cell_length_c 7.134
_cell_angle_alpha 91.16
_cell_angle_beta 90.00
_cell_angle_gamma 105.86
_symmetry_space_group_name_H-M 'P 1'
_symmetry_Int_Tables_number 1
_symmetry_space_group_name_Hall 'P 1'
loop_
_atom_site_label
_atom_site_type_symbol
_atom_site_fract_x
_atom_site_fract_y
_atom_site_fract_z
La1 La 0.515 0.030 0.750
Ac1 Ac 0.649 0.298 0.032
Y1 Y 0.641 0.283 0.492
La2 La 0.782 0.563 0.720
Y2 Y 0.359 0.717 0.508
Ac2 Ac 0.351 0.702 0.968
Pr1 Pr 0.057 0.114 0.280
Pr2 Pr 0.943 0.886 0.720
La3 La 0.485 0.970 0.250
La4 La 0.218 0.437 0.280
La5 La 0.840 0.680 0.251
La6 La 0.160 0.320 0.749

=====

[4]
# CeHo3In (PBE-GGA, relaxed)
# ΔH_f (0 K): -0.117 eV/atom
# SG: Cmcm (63)
data_CeHo3In
_cell_length_a 4.865
_cell_length_b 4.861
_cell_length_c 12.500
_cell_angle_alpha 90.00
_cell_angle_beta 78.78
_cell_angle_gamma 90.00
_symmetry_space_group_name_H-M 'P 1'
_symmetry_Int_Tables_number 1
_symmetry_space_group_name_Hall 'P 1'
loop_
_atom_site_label
_atom_site_type_symbol
_atom_site_fract_x
_atom_site_fract_y
_atom_site_fract_z
Ce1 Ce 0.176 0.250 0.296
In1 In 0.671 0.750 0.306
Ce2 Ce 0.472 0.750 0.704
Ho1 Ho 0.275 0.750 0.097
Ho2 Ho 0.771 0.250 0.107
Ho3 Ho 0.878 0.750 0.893
Ho4 Ho 0.373 0.250 0.903
Ho5 Ho 0.574 0.250 0.500
Ho6 Ho 0.074 0.750 0.500
In2 In 0.977 0.250 0.694

=====

[5]
# Co2ReHOs (PBE-GGA, relaxed)
# SG: P4/mmm (123)
# E_tot: -8.0974 eV per atom
data_Co2ReHOs
_cell_length_a 3.705
_cell_length_b 3.705
_cell_length_c 3.830
_cell_angle_alpha 90.00
_cell_angle_beta 90.00
_cell_angle_gamma 90.00
_symmetry_space_group_name_H-M 'P 1'
_symmetry_Int_Tables_number 1
_symmetry_space_group_name_Hall 'P 1'
loop_
_atom_site_label
_atom_site_type_symbol
_atom_site_fract_x
_atom_site_fract_y
_atom_site_fract_z
Co1 Co 0.500 0.000 0.000
Os1 Os 0.500 0.500 0.500
Co2 Co 0.000 0.500 0.000
Re1 Re 0.000 0.000 0.500
H1 H 0.000 0.000 0.000

=====

[6]
# CsNa2SrGe (PBE-GGA, relaxed)
# ΔH_f (0 K): -0.024 eV/atom
# SG: P4/mmm (123)
data_CsNa2SrGe
_cell_length_a 6.113
_cell_length_b 6.113
_cell_length_c 6.204
_cell_angle_alpha 90.00
_cell_angle_beta 90.00
_cell_angle_gamma 90.00
_symmetry_space_group_name_H-M 'P 1'
_symmetry_Int_Tables_number 1
_symmetry_space_group_name_Hall 'P 1'
loop_
_atom_site_label
_atom_site_type_symbol
_atom_site_fract_x
_atom_site_fract_y
_atom_site_fract_z
Cs1 Cs 0.500 0.500 0.500
Sr1 Sr 0.000 0.000 0.500
Na1 Na 0.000 0.500 0.000
Na2 Na 0.500 0.000 0.000
Ge1 Ge 0.000 0.000 0.000

=====

N(E_F) across the listed records, respectively: 6.745; 13.866; 17.468; 19.938; 4.227; 3.664 states/eV per cell.